Entry 1:
A relaxed structure of TlBiOF2, computed with PBE.

As for the total magnetic moment: 0.00 μB/f.u. The total energy comes out at -3.878 eV per atom. Its crystal system is tetragonal. As for the uncorrected formation energy: -0.889 eV per atom.

The structure belongs to space group P4/mmm (No. 123); the cell edges are 4.612, 4.612 and 4.295 Å and the angles 90.00°, 90.00° and 90.00°. The inequivalent atoms are Tl at (0.000, 0.000, 0.000), Bi at (0.500, 0.500, 0.500), O at (0.000, 0.000, 0.500) and F at (0.000, 0.500, 0.000).

---

Entry 2:
A relaxed structure of TlBiO2F, computed with PBE.

As for the total magnetic moment: 0.00 μB/f.u. The total energy comes out at -4.798 eV per atom. Its crystal system is tetragonal. As for the uncorrected formation energy: -1.191 eV per atom.

The structure belongs to space group P4/mmm (No. 123); the cell edges are 4.371, 4.371 and 4.665 Å and the angles 90.00°, 90.00° and 90.00°. The inequivalent atoms are Tl at (0.000, 0.000, 0.000), Bi at (0.500, 0.500, 0.500), O at (0.000, 0.500, 0.500) and F at (0.500, 0.500, 0.000).

---

Entry 3:
A relaxed structure of TlBiOF2, computed with PBE.

As for the total magnetic moment: 0.00 μB/f.u. The total energy comes out at -4.634 eV per atom. Its crystal system is tetragonal. As for the uncorrected formation energy: -1.644 eV per atom.

The structure belongs to space group P4/mmm (No. 123); the cell edges are 4.705, 4.705 and 4.519 Å and the angles 90.00°, 90.00° and 90.00°. The inequivalent atoms are Tl at (0.000, 0.000, 0.000), Bi at (0.500, 0.500, 0.500), O at (0.500, 0.500, 0.000) and F at (0.000, 0.500, 0.500).

---

Entry 4:
A relaxed structure of TlBiO2F, computed with PBE.

As for the total magnetic moment: 0.00 μB/f.u. The total energy comes out at -4.195 eV per atom. Its crystal system is tetragonal. As for the uncorrected formation energy: -0.588 eV per atom.

The structure belongs to space group P4/mmm (No. 123); the cell edges are 4.385, 4.385 and 4.415 Å and the angles 90.00°, 90.00° and 90.00°. The inequivalent atoms are Tl at (0.000, 0.000, 0.000), Bi at (0.500, 0.500, 0.500), O at (0.000, 0.500, 0.000) and F at (0.000, 0.000, 0.500).

---

Entry 5:
A relaxed structure of TmBi2O4F, computed with PBE.

As for the total magnetic moment: 0.00 μB/f.u. The total energy comes out at -6.447 eV per atom. Its crystal system is tetragonal. As for the uncorrected formation energy: -2.205 eV per atom.

The structure belongs to space group P4/mmm (No. 123); the cell edges are 3.818, 3.818 and 8.569 Å and the angles 90.00°, 90.00° and 90.00°. The inequivalent atoms are Tm at (0.000, 0.000, 0.000), Bi at (0.500, 0.500, 0.294), O at (0.000, 0.500, 0.159) and F at (0.000, 0.000, 0.500).